## w
This record from Alexandria via LeMat-Bulk describes a relaxed structure of SrCa2Sm. The functional is GGA-PBE.

Structure (POSCAR):
```
SrCa2Sm
1.0
6.155 0.000 0.000
3.078 5.330 0.000
3.078 1.777 5.026
Ca Sr Sm
2 1 1
Cartesian
9.233 5.330 3.769 Ca
3.078 1.777 1.256 Ca
6.155 3.554 2.513 Sr
0.000 0.000 0.000 Sm
```

Magnetic moment, μB per formula unit: 0.00

---

## x
This record from Alexandria via LeMat-Bulk describes a relaxed structure of SrCa2Sm. The functional is GGA-PBE.

Structure (POSCAR):
```
SrCa2Sm
1.0
-3.518 1.430 -0.774
-3.045 -2.382 -0.261
-4.376 1.101 12.223
Ca Sr Sm
2 1 1
Cartesian
-8.234 0.131 8.562 Ca
-2.705 0.018 2.625 Ca
-5.470 0.075 5.594 Sr
0.000 0.000 0.000 Sm
```

Magnetic moment, μB per formula unit: 0.00

---

## y
This record from Alexandria via LeMat-Bulk describes a relaxed structure of SrCa2Sm. The functional is GGA-PBE.

Structure (POSCAR):
```
SrCa2Sm
1.0
4.102 0.000 0.000
0.000 4.102 0.000
0.000 0.000 9.917
Ca Sm Sr
2 1 1
Cartesian
0.000 0.000 2.215 Ca
0.000 0.000 7.702 Ca
2.051 2.051 0.000 Sm
2.051 2.051 4.958 Sr
```

Magnetic moment, μB per formula unit: 0.00

---

It is y that is most stable; the runner-up trails by 0.011 eV/atom.

---

## w
This record from Alexandria via LeMat-Bulk describes a relaxed structure of SrCaSm2. The functional is GGA-PBE.

Structure (POSCAR):
```
SrCaSm2
1.0
-1.296 -0.783 5.537
-1.004 -5.013 -0.944
4.964 -1.182 0.995
Sm Ca Sr
2 1 1
Cartesian
-0.502 -2.507 -0.472 Sm
2.482 -0.591 0.497 Sm
1.332 -3.489 2.794 Ca
-0.648 -0.392 2.769 Sr
```

Magnetic moment, μB per formula unit: 0.00

---

## x
This record from Alexandria via LeMat-Bulk describes a relaxed structure of SrCaSm2. The functional is GGA-PBE.

Structure (POSCAR):
```
SrCaSm2
1.0
3.770 0.000 0.000
1.885 3.265 0.000
1.885 1.088 12.645
Sm Sr Ca
2 1 1
Cartesian
5.655 3.265 9.582 Sm
1.885 1.088 3.063 Sm
3.770 2.177 6.322 Sr
0.000 0.000 0.000 Ca
```

Magnetic moment, μB per formula unit: 0.00

---

It is x that is most stable; the runner-up trails by 0.028 eV/atom.

---

## w
This record from Alexandria via LeMat-Bulk describes a relaxed structure of CaTb7Sm3. The functional is GGA-PBE.

Structure (POSCAR):
```
CaTb7Sm3
1.0
-2.767 -5.104 2.865
-0.220 -4.181 -6.506
6.684 -3.808 0.826
Tb Sm Ca
7 3 1
Cartesian
3.933 -9.681 -0.850 Tb
3.232 -3.994 -2.840 Tb
1.580 -9.808 -3.349 Tb
2.117 -3.284 0.534 Tb
-0.672 -5.918 0.934 Tb
4.369 -7.175 -3.749 Tb
-0.236 -3.411 -1.965 Tb
5.496 -3.872 -0.435 Sm
0.967 -4.116 -5.245 Sm
-1.383 -2.552 1.432 Sm
1.848 -6.546 -1.407 Ca
```

Magnetic moment, μB per formula unit: 0.00

---

## x
This record from Alexandria via LeMat-Bulk describes a relaxed structure of CaTb7Sm3. The functional is GGA-PBE.

Structure (POSCAR):
```
CaTb7Sm3
1.0
-1.336 3.747 -7.756
3.809 -5.150 -3.144
-7.044 -0.777 0.838
Tb Ca Sm
7 1 3
Cartesian
-1.849 -0.681 -1.124 Tb
-3.481 -3.672 -2.288 Tb
-0.499 -0.200 -4.378 Tb
-2.094 -3.125 -5.516 Tb
0.027 -3.231 -2.772 Tb
-5.404 -1.073 -0.702 Tb
1.381 -2.741 -5.929 Tb
-4.021 -0.565 -3.945 Ca
-2.638 -0.020 -7.288 Sm
0.818 0.361 -7.699 Sm
-0.769 -2.546 -8.830 Sm
```

Magnetic moment, μB per formula unit: 0.00

---

It is x that is most stable; the runner-up trails by 0.017 eV/atom.

---

## w
This record from Alexandria via LeMat-Bulk describes a relaxed structure of Ca2TbSm4. The functional is GGA-PBE.

Structure (POSCAR):
```
Ca2TbSm4
1.0
-1.885 2.275 -2.003
3.659 -0.952 -4.525
-7.750 -9.580 -0.405
Sm Tb Ca
4 1 2
Cartesian
-3.258 -7.086 -4.981 Sm
-2.718 -1.171 -1.952 Sm
-6.710 -6.355 -4.083 Sm
0.734 -1.902 -2.850 Sm
0.000 0.000 0.000 Tb
-2.144 -3.277 -4.885 Ca
-3.832 -4.980 -2.048 Ca
```

Magnetic moment, μB per formula unit: 0.00

---

## x
This record from Alexandria via LeMat-Bulk describes a relaxed structure of Ca2TbSm4. The functional is GGA-PBE.

Structure (POSCAR):
```
Ca2TbSm4
1.0
5.708 0.000 0.000
0.000 5.708 0.000
-2.854 -2.854 8.939
Sm Tb Ca
4 1 2
Cartesian
2.854 0.000 0.000 Sm
2.854 2.854 5.864 Sm
0.000 2.854 0.000 Sm
0.000 0.000 3.075 Sm
0.000 0.000 0.000 Tb
2.854 2.854 2.278 Ca
0.000 0.000 6.661 Ca
```

Magnetic moment, μB per formula unit: 0.70

---

It is w that is most stable; the runner-up trails by 0.469 eV/atom.

---

## w
This record from Alexandria via LeMat-Bulk describes a relaxed structure of CaTb3Sm7. The functional is GGA-PBE.

Structure (POSCAR):
```
CaTb3Sm7
1.0
6.505 0.021 0.441
0.430 7.695 1.097
0.001 0.043 7.784
Sm Ca Tb
7 1 3
Cartesian
5.241 7.116 5.815 Sm
1.844 3.277 1.205 Sm
5.093 4.482 8.117 Sm
5.249 1.828 2.428 Sm
1.687 5.931 6.894 Sm
0.216 3.869 4.440 Sm
1.696 0.643 3.507 Sm
3.468 3.879 4.661 Ca
0.073 1.334 6.657 Tb
3.253 0.010 0.221 Tb
0.358 6.405 2.224 Tb
```

Magnetic moment, μB per formula unit: 0.00

---

## x
This record from Alexandria via LeMat-Bulk describes a relaxed structure of CaTb3Sm7. The functional is GGA-PBE.

Structure (POSCAR):
```
CaTb3Sm7
1.0
8.732 0.000 0.000
0.000 7.195 0.000
0.000 -3.598 6.231
Sm Tb Ca
7 3 1
Cartesian
0.953 -1.820 5.205 Sm
1.079 3.598 2.077 Sm
3.939 1.821 1.051 Sm
0.953 1.820 5.205 Sm
3.939 3.598 4.129 Sm
0.953 0.000 2.053 Sm
3.939 5.374 1.051 Sm
6.884 1.828 3.099 Tb
6.884 3.598 0.034 Tb
6.884 5.367 3.099 Tb
3.892 0.000 4.154 Ca
```

Magnetic moment, μB per formula unit: 0.00

---

It is x that is most stable; the runner-up trails by 0.016 eV/atom.

---

## w
This record from Alexandria via LeMat-Bulk describes a relaxed structure of Ca2TbSm2. The functional is GGA-PBE.

Structure (POSCAR):
```
Ca2TbSm2
1.0
-3.898 -2.472 -0.169
0.224 -0.038 -4.613
6.494 -6.110 2.678
Sm Ca Tb
2 2 1
Cartesian
3.833 -6.062 0.236 Sm
-1.013 -2.558 -2.341 Sm
0.379 -4.918 0.059 Ca
2.441 -3.701 -2.163 Ca
0.000 0.000 0.000 Tb
```

Magnetic moment, μB per formula unit: 0.00

---

## x
This record from Alexandria via LeMat-Bulk describes a relaxed structure of Ca2TbSm2. The functional is GGA-PBE.

Structure (POSCAR):
```
Ca2TbSm2
1.0
-2.659 1.893 -1.685
-3.078 0.855 1.813
6.451 13.230 4.700
Sm Ca Tb
2 2 1
Cartesian
-0.725 3.361 0.910 Sm
1.439 12.617 3.917 Sm
2.006 8.956 2.898 Ca
-1.292 7.022 1.929 Ca
0.000 0.000 0.000 Tb
```

Magnetic moment, μB per formula unit: 0.00

---

It is x that is most stable; the runner-up trails by 0.352 eV/atom.